Here is crystalline ZrScSb2 at its relaxed geometry from Alexandria via LeMat-Bulk. Energies are from PBE-GGA.

Values from the calculation:
**Crystal system**: trigonal
**Size of the total moment**: 0.00 μB per cell
**E**: -6.526 eV per atom
**Excess energy over the best structure of this formula in the dataset**: 15 meV/atom

abc: 4.069 4.069 21.255
angles: 90.00 90.00 120.00
Sites, in units of the cell vectors:
1 Zr 0.000 0.000 0.000
2 Zr 0.333 0.667 0.667
3 Zr 0.667 0.333 0.333
4 Sc 0.000 0.000 0.171
5 Sc 0.333 0.667 0.838
6 Sc 0.667 0.333 0.504
7 Sb 0.000 0.000 0.583
8 Sb 0.000 0.000 0.752
9 Sb 0.333 0.667 0.250
10 Sb 0.333 0.667 0.419
11 Sb 0.667 0.333 0.086
12 Sb 0.667 0.333 0.916